Version A
Entry from Alexandria via LeMat-Bulk: a relaxed structure of Bi2O5 (GGA-PBE).

a b c (Å): 4.0238 6.7849 7.8840
angles (deg): 90.00 90.00 90.00
Positions (direct):
1 O 0.5000 0.3933 0.8582
2 O 0.0000 0.1605 0.6711
3 O 0.5000 0.0000 0.0000
4 O 0.5000 0.1067 0.3582
5 O 0.5000 0.6067 0.1418
6 O 0.0000 0.8395 0.3289
7 O 0.5000 0.5000 0.5000
8 O 0.5000 0.8933 0.6418
9 O 0.0000 0.6605 0.8289
10 O 0.0000 0.3395 0.1711
11 Bi 0.5000 0.7261 0.8813
12 Bi 0.5000 0.7739 0.3813
13 Bi 0.5000 0.2739 0.1187
14 Bi 0.5000 0.2261 0.6187

Results
DOS at the Fermi energy in states/eV/cell: 5.4



Version B
Entry from Alexandria via LeMat-Bulk: a relaxed structure of Bi2O5 (GGA-PBE).

a b c (Å): 10.5302 5.4992 9.0197
angles (deg): 61.10 90.00 90.00
Positions (direct):
1 O 0.5807 0.8935 0.4261
2 O 0.0807 0.1065 0.0739
3 O 0.7944 0.8288 0.6755
4 O 0.9325 0.0571 0.3565
5 O 0.9193 0.8935 0.9261
6 O 0.7186 0.3776 0.5148
7 O 0.7056 0.8288 0.1755
8 O 0.9844 0.6009 0.3315
9 O 0.2186 0.6224 0.9852
10 O 0.2056 0.1712 0.3245
11 O 0.4325 0.9429 0.1435
12 O 0.4193 0.1065 0.5739
13 O 0.2814 0.6224 0.4852
14 O 0.0156 0.3991 0.6685
15 O 0.7814 0.3776 0.0148
16 O 0.0675 0.9429 0.6435
17 O 0.2944 0.1712 0.8245
18 O 0.5675 0.0571 0.8565
19 O 0.4844 0.3991 0.1685
20 O 0.5156 0.6009 0.8315
21 Bi 0.8882 0.9948 0.1282
22 Bi 0.0976 0.7880 0.4618
23 Bi 0.6118 0.9948 0.6282
24 Bi 0.4024 0.7880 0.9618
25 Bi 0.3882 0.0052 0.3718
26 Bi 0.5976 0.2120 0.0382
27 Bi 0.1118 0.0052 0.8718
28 Bi 0.9024 0.2120 0.5382

Results
DOS at the Fermi energy in states/eV/cell: 12.2



The data favor version A; the next most stable structure lies 21 meV/atom above it.



Version A
Entry from Alexandria via LeMat-Bulk: a relaxed structure of Bi2O5 (GGA-PBE).

a b c (Å): 4.2133 4.0594 13.8492
angles (deg): 90.00 90.01 90.00
Positions (direct):
1 O 0.9726 0.5004 0.1113
2 O 0.5054 0.0005 0.8050
3 O 0.1650 0.0003 0.0001
4 O 0.6377 0.4998 0.6434
5 O 0.5042 0.0001 0.1949
6 O 0.9751 0.5004 0.8888
7 O 0.0147 0.9996 0.6909
8 O 0.6364 0.4996 0.3566
9 O 0.0135 0.9997 0.3090
10 O 0.3162 0.9994 0.5000
11 Bi 0.5024 0.9998 0.6416
12 Bi 0.0082 0.0004 0.8520
13 Bi 0.0070 0.0004 0.1480
14 Bi 0.5013 0.9996 0.3583

Results
DOS at the Fermi energy in states/eV/cell: 2.4



Version B
Entry from Alexandria via LeMat-Bulk: a relaxed structure of Bi2O5 (GGA-PBE).

a b c (Å): 4.0919 4.2586 14.9985
angles (deg): 73.47 90.00 90.00
Positions (direct):
1 O 0.9995 0.1947 0.0552
2 O 0.5004 0.3858 0.8651
3 O 0.0005 0.5000 0.2500
4 O 0.9995 0.5000 0.7500
5 O 0.4996 0.6142 0.1349
6 O 0.5004 0.6142 0.6349
7 O 0.9995 0.8053 0.4448
8 O 0.0005 0.1947 0.5552
9 O 0.0005 0.8053 0.9448
10 O 0.4996 0.3858 0.3651
11 Bi 0.9996 0.3504 0.3997
12 Bi 0.9996 0.6496 0.1003
13 Bi 0.0004 0.3504 0.8997
14 Bi 0.0004 0.6496 0.6003

Results
DOS at the Fermi energy in states/eV/cell: 4.6



Version C
Entry from Alexandria via LeMat-Bulk: a relaxed structure of Bi2O5 (GGA-PBE).

a b c (Å): 5.9796 5.9796 10.0933
angles (deg): 90.00 90.00 138.21
Positions (direct):
1 O 0.4552 0.5448 0.3738
2 O 0.2848 0.7153 0.7500
3 O 0.1853 0.8147 0.4650
4 O 0.4552 0.5448 0.1262
5 O 0.7153 0.2848 0.2500
6 O 0.8147 0.1853 0.5350
7 O 0.5448 0.4552 0.8738
8 O 0.5448 0.4552 0.6262
9 O 0.1853 0.8147 0.0350
10 O 0.8147 0.1853 0.9650
11 Bi 0.3636 0.6364 0.5606
12 Bi 0.6364 0.3636 0.0606
13 Bi 0.6364 0.3636 0.4394
14 Bi 0.3636 0.6364 0.9394

Results
DOS at the Fermi energy in states/eV/cell: 2.7



The data favor version C; the next most stable structure lies 41 meV/atom above it.